1.
Material: Tb5P4O
Method: DFT, PBE
State: relaxed

Properties
* SG: No. 79
* electronic total energy: -6.7997 eV per atom
* E_form (uncorrected): -1.825 eV/atom
* calculated density: 7.15 g cm⁻³

Cell lengths 5.648, 6.811, 6.811 Å; angles 80.10, 65.50, 65.50 degrees
Element x y z (fractional)
P  0.202  0.204  0.396
P  0.597  0.604  0.204
P  0.405  0.396  0.796
P  0.801  0.796  0.604
Tb  0.292  0.807  0.611
Tb  0.100  0.611  0.193
Tb  0.904  0.389  0.807
Tb  0.711  0.193  0.389
Tb  0.446  0.000  0.000
O  0.052  0.000  0.000



2.
Material: Tb3PO6
Method: DFT, PBE
State: relaxed

Properties
* SG: No. 36
* electronic total energy: -7.9738 eV per atom
* E_form (uncorrected): -3.069 eV/atom
* calculated density: 6.91 g cm⁻³

Cell lengths 5.940, 7.081, 7.081 Å; angles 103.03, 90.00, 90.00 degrees
Element x y z (fractional)
O  0.220  0.674  0.654
O  0.720  0.326  0.346
O  0.065  0.777  0.223
O  0.648  0.897  0.393
O  0.148  0.103  0.607
O  0.565  0.223  0.777
O  0.648  0.607  0.103
O  0.720  0.654  0.674
O  0.220  0.346  0.326
O  0.709  0.951  0.049
O  0.148  0.393  0.897
O  0.209  0.049  0.951
Tb  0.988  0.087  0.306
Tb  0.488  0.913  0.694
Tb  0.488  0.306  0.087
Tb  0.955  0.594  0.406
Tb  0.988  0.694  0.913
Tb  0.455  0.406  0.594
P  0.046  0.172  0.828
P  0.546  0.828  0.172



3.
Material: TbPO4
Method: DFT, PBE
State: relaxed

Properties
* SG: No. 88
* electronic total energy: -7.9346 eV per atom
* E_form (uncorrected): -2.956 eV/atom
* calculated density: 6.28 g cm⁻³

Cell lengths 4.867, 4.867, 6.634 Å; angles 111.52, 111.52, 90.00 degrees
Element x y z (fractional)
O  0.179  0.793  0.103
O  0.207  0.576  0.397
O  0.424  0.310  0.103
O  0.821  0.207  0.897
O  0.576  0.690  0.897
O  0.793  0.424  0.603
O  0.690  0.821  0.397
O  0.310  0.179  0.603
P  0.375  0.625  0.250
P  0.625  0.375  0.750
Tb  0.125  0.875  0.750
Tb  0.875  0.125  0.250